Compound: Ir2RuSe
Source: the Alexandria database
Functional: meta-GGA SCAN
Structure: single point on PBEsol structure

Unit cell a=2.7988 b=4.6657 c=4.8079 alpha=103.39 beta=90.00 gamma=107.45
Last column: nearest neighbours and their distance in Å.
Fractional positions:
Ru  0.4919  0.9838  0.4967  3 Se 2.57-2.73, 5 Ir 2.69-2.71, 2 Ru 2.80
Ir  0.0084  0.0168  0.9799  2 Se 2.67, 5 Ir 2.67-2.80, 4 Ru 2.69-2.89
Ir  0.2507  0.5013  0.7427  2 Se 2.62, 5 Ir 2.67-2.80, 3 Ru 2.69-2.71
Se  0.7490  0.4980  0.2807  3 Ru 2.57-2.73, 4 Ir 2.62-2.67, 2 Se 2.80

## Properties
crystal system: monoclinic
energy relative to the elements, uncorrected: 0.41 eV per atom
ρ: 16.133 Mg/m³
E_tot: -48.864 eV/atom